Record 1
An optimized crystal structure of Co3SiH. Source: the Alexandria database, functional PBE-GGA.

Cell lengths 6.6047, 6.6047, 6.6047 Å; angles 60.00, 60.00, 60.00 degrees
With the nearest neighbours (Å) after each atom.
Fractional coordinates of all 20 atoms:
Co 0.0534 0.4466 0.0534  2 H 1.78
Co 0.4466 0.0534 0.4466  2 H 1.78
Co 0.4466 0.4466 0.0534  2 H 1.78
Co 0.1966 0.8034 0.1966  2 H 1.78
Co 0.8034 0.8034 0.1966  2 H 1.78
Co 0.4466 0.0534 0.0534  2 H 1.78
Co 0.8034 0.1966 0.8034  2 H 1.78
Co 0.1966 0.1966 0.8034  2 H 1.78
Co 0.8034 0.1966 0.1966  2 H 1.78
Co 0.0534 0.0534 0.4466  2 H 1.78
Co 0.0534 0.4466 0.4466  2 H 1.78
Co 0.1966 0.8034 0.8034  2 H 1.78
H 0.1250 0.6250 0.1250  6 Co 1.78
H 0.1250 0.1250 0.1250  6 Co 1.78
H 0.6250 0.1250 0.1250  6 Co 1.78
H 0.1250 0.1250 0.6250  6 Co 1.78
Si 0.6250 0.1250 0.6250  6 Co 2.35
Si 0.6250 0.6250 0.1250  6 Co 2.35
Si 0.1250 0.6250 0.6250  6 Co 2.35
Si 0.6250 0.6250 0.6250  6 Co 2.35

Output
**SG**: Fd-3m, No. 227
**M_tot**: 10.24 μB/cell
**Theoretical density**: 6.71 g/cm3
**DFT total energy**: -6.01 eV per atom
**Distance to the lowest polymorph of the same formula**: 0.2888 eV/atom


Record 2
An optimized crystal structure of CePm2S3. Source: the Alexandria database, functional PBE-GGA.

Cell lengths 4.0263, 5.7043, 6.9845 Å; angles 114.10, 106.75, 90.00 degrees
With the nearest neighbours (Å) after each atom.
Fractional coordinates of all 6 atoms:
S 0.5000 0.0000 0.5000  2 Ce 2.85, 4 Pm 2.86
S 0.8344 0.3344 0.1689  2 Ce 2.84, 4 Pm 2.84-2.85
S 0.1656 0.6656 0.8311  2 Ce 2.84, 4 Pm 2.84-2.85
Pm 0.1684 0.1684 0.8368  6 S 2.84-2.86
Pm 0.8316 0.8316 0.1632  6 S 2.84-2.86
Ce 0.5000 0.5000 0.5000  6 S 2.84-2.85

Output
**SG**: Immm, No. 71
**Energy relative to the elements, uncorrected**: -2.0422 eV per atom
**M_tot**: 0.82 μB/cell
**Theoretical density**: 6.29 g/cm3
**DFT total energy**: -6.68 eV per atom


Record 3
An optimized crystal structure of CsK2HgO. Source: the Alexandria database, functional PBE-GGA.

Cell lengths 5.4649, 5.4649, 6.0476 Å; angles 90.00, 90.00, 90.00 degrees
With the nearest neighbours (Å) after each atom.
Fractional coordinates of all 5 atoms:
Hg 0.5000 0.5000 0.5000  4 Cs 3.86, 8 K 4.08
O 0.0000 0.0000 0.0000  4 K 2.73, 2 Cs 3.02
K 0.0000 0.5000 0.0000  2 O 2.73
K 0.5000 0.0000 0.0000  2 O 2.73
Cs 0.0000 0.0000 0.5000  2 O 3.02

Output
**SG**: P4/mmm, No. 123
**Energy relative to the elements, uncorrected**: -0.6188 eV per atom
**M_tot**: 0.00 μB/cell
**Theoretical density**: 3.93 g/cm3
**DFT total energy**: -2.28 eV per atom